# GdCdHg (PBE, relaxed)
data_GdCdHg
_cell_length_a 4.9757
_cell_length_b 4.9757
_cell_length_c 3.4653
_cell_angle_alpha 90.00
_cell_angle_beta 90.00
_cell_angle_gamma 120.00
_space_group_name_H-M_alt 'P -6 m 2'
_space_group_IT_number 187
_space_group_name_Hall 'P -6 2'
loop_
_atom_site_label
_atom_site_type_symbol
_atom_site_fract_x
_atom_site_fract_y
_atom_site_fract_z
_atom_site_occupancy
Gd1 Gd 0.0000 0.0000 0.0000 1
Cd1 Cd 0.3333 0.6667 0.5000 1
Hg1 Hg 0.6667 0.3333 0.5000 1
# ΔH_f (0 K)   -115 kJ/mol of formula units
# Volume   24.766 A^3/atom

---

# RbGaTeI2 (PBE, relaxed)
data_RbGaTeI2
_cell_length_a 6.010
_cell_length_b 6.010
_cell_length_c 5.449
_cell_angle_alpha 90.00
_cell_angle_beta 90.00
_cell_angle_gamma 90.00
_space_group_name_H-M_alt 'P 4/m m m'
_space_group_IT_number 123
_space_group_name_Hall '-P 4 2'
loop_
_atom_site_label
_atom_site_type_symbol
_atom_site_fract_x
_atom_site_fract_y
_atom_site_fract_z
_atom_site_occupancy
Rb1 Rb 0.000 0.000 0.000 1
Ga1 Ga 0.500 0.500 0.500 1
Te1 Te 0.500 0.500 0.000 1
I1 I 0.000 0.500 0.500 1
# Formation energy (no corrections)   -566.5 meV per atom
# Volume   39.363 A^3/atom

---

# Ca2AlOsO6 (PBE, relaxed)
data_Ca2AlOsO6
_cell_length_a 5.461
_cell_length_b 5.461
_cell_length_c 3.784
_cell_angle_alpha 90.00
_cell_angle_beta 90.00
_cell_angle_gamma 90.00
_space_group_name_H-M_alt 'P 4/m m m'
_space_group_IT_number 123
_space_group_name_Hall '-P 4 2'
loop_
_atom_site_label
_atom_site_type_symbol
_atom_site_fract_x
_atom_site_fract_y
_atom_site_fract_z
_atom_site_occupancy
Ca1 Ca 0.000 0.500 0.000 1
Al1 Al 0.000 0.000 0.500 1
Os1 Os 0.500 0.500 0.500 1
O1 O 0.000 0.000 0.000 1
O2 O 0.246 0.246 0.500 1
O3 O 0.500 0.500 0.000 1
# Formation energy (no corrections)   -2254.5 meV per atom
# Volume   11.287 A^3/atom

---

# Ta3Fe4 (PBE, relaxed)
data_Ta3Fe4
_cell_length_a 5.2379
_cell_length_b 5.2379
_cell_length_c 4.6413
_cell_angle_alpha 90.00
_cell_angle_beta 90.00
_cell_angle_gamma 120.00
_space_group_name_H-M_alt 'P 6/m m m'
_space_group_IT_number 191
_space_group_name_Hall '-P 6 2'
loop_
_atom_site_label
_atom_site_type_symbol
_atom_site_fract_x
_atom_site_fract_y
_atom_site_fract_z
_atom_site_occupancy
Ta1 Ta 0.0000 0.5000 0.0000 1
Fe1 Fe 0.0000 0.0000 0.2601 1
Fe2 Fe 0.3333 0.6667 0.5000 1
# ΔH_f (0 K)   313 kJ/mol of formula units
# Volume   15.754 A^3/atom